No. 1
The following is a DFT calculation (PBE) of a relaxed structure of Al2Tl.

abc: 5.725 5.725 5.725
angles: 60.00 60.00 60.00
Element x y z (fractional)
1 Al 0.000 0.000 0.000
2 Al 0.000 0.000 0.500
3 Al 0.000 0.500 0.000
4 Al 0.500 0.000 0.000
5 Tl 0.375 0.375 0.375
6 Tl 0.625 0.625 0.625

Computed properties:
space-group type	Fd-3m (227)
M_tot	0.000	μB/f.u.
calculated formation energy	0.19	eV/atom
E_tot	-18.54	eV/cell

No. 2
The following is a DFT calculation (PBE) of a relaxed structure of Y2HfMo.

abc: 7.243 7.243 7.243
angles: 90.00 90.00 90.00
Element x y z (fractional)
1 Y 0.250 0.250 0.250
2 Y 0.250 0.250 0.750
3 Y 0.250 0.750 0.250
4 Y 0.250 0.750 0.750
5 Y 0.750 0.250 0.250
6 Y 0.750 0.250 0.750
7 Y 0.750 0.750 0.250
8 Y 0.750 0.750 0.750
9 Hf 0.000 0.000 0.000
10 Hf 0.000 0.500 0.500
11 Hf 0.500 0.000 0.500
12 Hf 0.500 0.500 0.000
13 Mo 0.000 0.000 0.500
14 Mo 0.000 0.500 0.000
15 Mo 0.500 0.000 0.000
16 Mo 0.500 0.500 0.500

Computed properties:
space-group type	Fm-3m (225)
M_tot	0.000	μB/f.u.
calculated formation energy	0.51	eV/atom
E_tot	-126.72	eV/cell

No. 3
The following is a DFT calculation (PBE) of a relaxed structure of Pm4Cd3In.

abc: 3.676 4.968 12.494
angles: 90.00 90.00 90.00
Element x y z (fractional)
1 Pm 0.000 0.000 0.000
2 Pm 0.000 0.500 0.318
3 Pm 0.500 0.000 0.498
4 Pm 0.500 0.500 0.819
5 Cd 0.000 0.500 0.587
6 Cd 0.500 0.000 0.229
7 Cd 0.500 0.500 0.088
8 In 0.000 0.000 0.731

Computed properties:
space-group type	Pmm2 (25)
M_tot	0.000	μB/f.u.
calculated formation energy	-0.31	eV/atom
E_tot	-27.00	eV/cell

No. 4
The following is a DFT calculation (PBE) of a relaxed structure of BeTeWN2.

abc: 3.739 3.739 4.751
angles: 90.00 90.00 90.00
Element x y z (fractional)
1 Be 0.000 0.000 0.000
2 Te 0.500 0.500 0.500
3 W 0.000 0.000 0.500
4 N 0.000 0.500 0.000
5 N 0.500 0.000 0.000

Computed properties:
ΔE_f (raw)	8.83	eV/f.u.
space-group type	P4/mmm (123)
M_tot	0.002	μB/f.u.
E_tot	-27.64	eV/cell

No. 5
The following is a DFT calculation (PBE) of a relaxed structure of Ba3CaSb2.

abc: 5.129 5.263 18.481
angles: 90.00 90.00 90.00
Element x y z (fractional)
1 Ba 0.000 0.000 0.000
2 Ba 0.000 0.500 0.323
3 Ba 0.000 0.500 0.677
4 Ba 0.500 0.000 0.177
5 Ba 0.500 0.000 0.823
6 Ba 0.500 0.500 0.500
7 Ca 0.000 0.000 0.500
8 Ca 0.500 0.500 0.000
9 Sb 0.000 0.500 0.131
10 Sb 0.000 0.500 0.869
11 Sb 0.500 0.000 0.369
12 Sb 0.500 0.000 0.631

Computed properties:
ΔE_f (raw)	-5.23	eV/f.u.
space-group type	Immm (71)
M_tot	0.000	μB/f.u.
E_tot	-42.48	eV/cell

No. 6
The following is a DFT calculation (PBE) of a relaxed structure of Li2NpGeO6.

abc: 5.529 5.529 4.196
angles: 90.00 90.00 90.00
Element x y z (fractional)
1 Li 0.000 0.500 0.000
2 Li 0.500 0.000 0.000
3 Np 0.000 0.000 0.720
4 Ge 0.500 0.500 0.659
5 O 0.000 0.000 0.230
6 O 0.260 0.260 0.764
7 O 0.260 0.740 0.764
8 O 0.500 0.500 0.245
9 O 0.740 0.260 0.764
10 O 0.740 0.740 0.764

Computed properties:
ΔE_f (raw)	-20.56	eV/f.u.
space-group type	P4mm (99)
M_tot	0.999	μB/f.u.
E_tot	-71.70	eV/cell